Entry from Alexandria: MnTcSb2O8 after structural relaxation (PBE+U).

Cell and atoms, written as CIF:
```
data_MnTcSb2O8
_chemical_formula_sum 'Mn2 Tc2 Sb4 O16'
_cell_length_a 6.6458
_cell_length_b 6.8362
_cell_length_c 6.3855
_cell_angle_alpha 90.00
_cell_angle_beta 90.00
_cell_angle_gamma 90.00
_space_group_name_H-M_alt 'C m m m'
_space_group_IT_number 65
_space_group_name_Hall '-C 2 2'
loop_
_atom_site_label
_atom_site_type_symbol
_atom_site_fract_x
_atom_site_fract_y
_atom_site_fract_z
Mn1 Mn 0.0000 0.0000 0.0000
Tc1 Tc 0.0000 0.0000 0.5000
Sb1 Sb 0.0000 0.5000 0.2487
O1 O 0.0000 0.3049 0.5000
O2 O 0.0000 0.3133 0.0000
O3 O 0.2004 0.0000 0.2646
```

Computed properties:
- Total energy: -82.78 eV per formula unit